Model a:
ZnFeCo3 after structural relaxation. Source: Alexandria via LeMat-Bulk, functional GGA-PBE.

Computed properties:
**Space-group type**: Pm-3m

Unit cell a=4.270 b=4.270 c=4.270 alpha=90.00 beta=90.00 gamma=90.00
Positions (direct):
1 Zn 0.000 0.000 0.000
2 Fe 0.500 0.500 0.500
3 Co 0.000 0.500 0.500
4 Co 0.500 0.000 0.500
5 Co 0.500 0.500 0.000

=====

Model b:
ZnFeCo3 after structural relaxation. Source: Alexandria via LeMat-Bulk, functional GGA-PBE.

Computed properties:
**Space-group type**: Pnna

Unit cell a=4.315 b=8.459 c=7.013 alpha=90.00 beta=90.00 gamma=90.00
Positions (direct):
1 Zn 0.250 0.000 0.168
2 Zn 0.250 0.500 0.332
3 Zn 0.750 0.000 0.832
4 Zn 0.750 0.500 0.668
5 Fe 0.250 0.000 0.605
6 Fe 0.250 0.500 0.895
7 Fe 0.750 0.000 0.395
8 Fe 0.750 0.500 0.105
9 Co 0.044 0.234 0.417
10 Co 0.044 0.266 0.083
11 Co 0.045 0.250 0.750
12 Co 0.455 0.750 0.750
13 Co 0.456 0.734 0.083
14 Co 0.456 0.766 0.417
15 Co 0.544 0.234 0.583
16 Co 0.544 0.266 0.917
17 Co 0.545 0.250 0.250
18 Co 0.955 0.750 0.250
19 Co 0.956 0.734 0.917
20 Co 0.956 0.766 0.583

=====

Ranking the structures above by stability puts model b first and model a last.